The following is a DFT calculation (GGA+U) of an optimized crystal structure of VPd2O6.

Cell and atoms, written as CIF:
```
data_VPd2O6
_chemical_formula_sum 'V1 Pd2 O6'
_cell_length_a 6.844
_cell_length_b 6.844
_cell_length_c 6.111
_cell_angle_alpha 102.37
_cell_angle_beta 102.37
_cell_angle_gamma 25.61
_space_group_name_H-M_alt 'P 1'
_space_group_IT_number 1
loop_
_space_group_symop_operation_xyz
'x,y,z'
loop_
_atom_site_label
_atom_site_type_symbol
_atom_site_fract_x
_atom_site_fract_y
_atom_site_fract_z
V1 V 0.000 0.000 0.000
Pd1 Pd 0.335 0.335 0.668
Pd2 Pd 0.665 0.665 0.332
O1 O 0.151 0.151 0.107
O2 O 0.179 0.179 0.559
O3 O 0.491 0.491 0.786
O4 O 0.509 0.509 0.214
O5 O 0.821 0.821 0.441
O6 O 0.849 0.849 0.893
```

symmetry	No. 12
uncorrected energy	-6.0884	eV per atom
total magnetization	0.99	μB per cell